No. 1
A plane-wave DFT calculation with GGA-PBE was carried out for a relaxed structure of Mo2PbAu.

Summary:
Formation enthalpy at 0 K (eV per atom): 0.35
DOS at the Fermi energy (states/eV per cell): 3.11
Electronic total energy (eV per atom): -6.810
Total magnetic moment (μB/atom): 0.000

abc: 3.222 3.260 7.750
angles: 90.00 99.91 90.00
Element x y z (fractional)
Mo (0.000, 0.000, 0.000)
Mo (0.419, 0.500, 0.833)
Pb (0.592, 0.500, 0.275)
Au (0.820, 0.000, 0.599)

***

No. 2
A plane-wave DFT calculation with GGA-PBE was carried out for a relaxed structure of Li2AuSeI.

Summary:
DOS at the Fermi energy (states/eV per cell): 0.21
Formation energy from raw total energies (eV per atom): -0.674
Electronic total energy (eV per atom): -3.102
Total magnetic moment (μB/atom): 0.000

abc: 5.065 5.065 4.984
angles: 90.00 90.00 90.00
Element x y z (fractional)
Li (0.000, 0.500, 0.000)
Li (0.500, 0.000, 0.000)
Au (0.000, 0.000, 0.500)
Se (0.000, 0.000, 0.000)
I (0.500, 0.500, 0.500)

***

No. 3
A plane-wave DFT calculation with GGA-PBE was carried out for a relaxed structure of AcNdPuTl.

Summary:
Formation enthalpy at 0 K (eV per atom): 0.14
DOS at the Fermi energy (states/eV per cell): 13.79
Electronic total energy (eV per atom): -6.255
Total magnetic moment (μB/atom): 1.748

abc: 5.667 5.667 5.667
angles: 60.00 60.00 60.00
Element x y z (fractional)
Ac (0.000, 0.000, 0.000)
Nd (0.750, 0.750, 0.750)
Pu (0.250, 0.250, 0.250)
Tl (0.500, 0.500, 0.500)

***

No. 4
A plane-wave DFT calculation with GGA-PBE was carried out for a relaxed structure of Al8Cr4Si3.

Summary:
DOS at the Fermi energy (states/eV per cell): 4.40
Formation energy from raw total energies (eV per atom): -0.157
Electronic total energy (eV per atom): -5.803
Total magnetic moment (μB/atom): 0.136

abc: 4.931 5.155 8.861
angles: 106.52 90.40 101.40
Element x y z (fractional)
Al (0.006, 0.097, 0.371)
Al (0.087, 0.339, 0.876)
Al (0.325, 0.283, 0.135)
Al (0.439, 0.830, 0.179)
Al (0.561, 0.170, 0.821)
Al (0.675, 0.717, 0.865)
Al (0.913, 0.661, 0.124)
Al (0.994, 0.903, 0.629)
Cr (0.176, 0.616, 0.376)
Cr (0.202, 0.853, 0.900)
Cr (0.798, 0.147, 0.100)
Cr (0.824, 0.384, 0.624)
Si (0.340, 0.543, 0.626)
Si (0.500, 0.000, 0.500)
Si (0.660, 0.457, 0.374)

***

No. 5
A plane-wave DFT calculation with GGA-PBE was carried out for a relaxed structure of PmDy6Cd2.

Summary:
Formation enthalpy at 0 K (eV per atom): -0.13
DOS at the Fermi energy (states/eV per cell): 9.59
Electronic total energy (eV per atom): -3.928
Total magnetic moment (μB/atom): 0.000

abc: 6.590 6.590 11.894
angles: 107.56 107.56 33.03
Element x y z (fractional)
Pm (0.000, 0.000, 0.000)
Dy (0.015, 0.015, 0.341)
Dy (0.313, 0.313, 0.417)
Dy (0.315, 0.315, 0.124)
Dy (0.685, 0.685, 0.876)
Dy (0.687, 0.687, 0.583)
Dy (0.985, 0.985, 0.659)
Cd (0.351, 0.351, 0.786)
Cd (0.649, 0.649, 0.214)

***

No. 6
A plane-wave DFT calculation with GGA-PBE was carried out for a relaxed structure of BeZn2Ru.

Summary:
Formation enthalpy at 0 K (eV per atom): 0.10
DOS at the Fermi energy (states/eV per cell): 1.71
Electronic total energy (eV per atom): -3.789
Total magnetic moment (μB/atom): 0.000

abc: 2.665 2.665 8.179
angles: 90.00 90.00 114.16
Element x y z (fractional)
Be (0.000, 0.000, 0.000)
Zn (0.000, 0.000, 0.525)
Zn (0.500, 0.500, 0.243)
Ru (0.500, 0.500, 0.791)